(1)
Below is MgIn2Os after structural relaxation, with properties calculated at the PBE level.

Cell lengths 3.5711, 3.5712, 5.9785 Å; angles 90.00, 90.00, 90.00 degrees
With the nearest neighbours (Å) after each atom.
Atoms (fractional coordinates):
In1 0.0000 0.0000 0.9757  1 Mg 2.71, 4 Os 2.88
In2 0.5000 0.5000 0.2594  2 Os 2.89-3.09, 4 Mg 2.97, 4 In 3.04
Mg1 0.0000 0.0000 0.5223  5 In 2.71-2.97, 4 Os 2.85
Os1 0.5000 0.5000 0.7426  4 Mg 2.85, 6 In 2.88-3.09

## Properties
space group = P4mm (99)
ΔH_f (0 K) = 24.22 kJ/mol of atoms

---

(2)
Below is RbLiScCl6 after structural relaxation, with properties calculated at the PBE level.

Cell lengths 6.5740, 6.5739, 7.4797 Å; angles 90.03, 89.97, 59.89 degrees
With the nearest neighbours (Å) after each atom.
Atoms (fractional coordinates):
Cl1 0.9905 0.3764 0.3046  1 Sc 2.50, 1 Li 2.58
Cl2 0.6334 0.9893 0.3044  1 Sc 2.50, 1 Li 2.58
Cl3 0.3765 0.9905 0.6954  1 Sc 2.50, 1 Li 2.58
Cl4 0.9892 0.6334 0.6956  1 Sc 2.50, 1 Li 2.58
Cl5 0.3774 0.6328 0.3043  1 Sc 2.50, 1 Li 2.58
Cl6 0.6327 0.3775 0.6957  1 Sc 2.50, 1 Li 2.58
Li1 0.3336 0.3336 0.5000  6 Cl 2.58
Rb1 0.9999 0.0000 0.0000  6 Cl 3.34
Sc1 0.6665 0.6665 0.4999  6 Cl 2.50

## Properties
uncorrected formation energy = -1.690 eV per atom
space group = C2 (5)

---

(3)
Below is Tb2LuAl after structural relaxation, with properties calculated at the PBE level.

Cell lengths 4.7194, 4.7481, 4.7481 Å; angles 90.00, 90.00, 90.00 degrees
With the nearest neighbours (Å) after each atom.
Atoms (fractional coordinates):
Al1 0.5000 0.0000 0.0000  8 Tb 3.35, 4 Lu 3.36
Tb1 0.0000 0.0000 0.5000  4 Lu 3.35, 4 Al 3.35, 4 Tb 3.36
Tb2 0.0000 0.5000 0.0000  4 Lu 3.35, 4 Al 3.35, 4 Tb 3.36
Lu1 0.5000 0.5000 0.5000  8 Tb 3.35, 4 Al 3.36

## Properties
space group = P4/mmm (123)
excess energy over the best structure of this formula in the dataset = 0.000 eV per atom
ΔH_f (0 K) = -18.19 kJ/mol of atoms

---

(4)
Below is Rb2LaHf after structural relaxation, with properties calculated at the PBE level.

Cell lengths 6.1416, 6.1416, 6.1416 Å; angles 60.00, 60.00, 60.00 degrees
With the nearest neighbours (Å) after each atom.
Atoms (fractional coordinates):
Hf1 0.5000 0.5000 0.5000  8 Rb 3.76
Rb1 0.7500 0.7500 0.7500  4 Hf 3.76, 4 La 3.76
Rb2 0.2500 0.2500 0.2500  4 Hf 3.76, 4 La 3.76
La1 0.0000 0.0000 0.0000  8 Rb 3.76

## Properties
space group = Fm-3m (225)
excess energy over the best structure of this formula in the dataset = 0.330 eV per atom
ΔH_f (0 K) = 132.67 kJ/mol of atoms

---

(5)
Below is HoInGaHg after structural relaxation, with properties calculated at the PBE level.

Cell lengths 4.4443, 4.4036, 4.6207 Å; angles 90.00, 90.00, 90.00 degrees
With the nearest neighbours (Å) after each atom.
Atoms (fractional coordinates):
Ho1 0.5000 0.5000 0.0000  4 Ga 3.13, 4 Hg 3.19, 4 In 3.21
In1 0.0000 0.5000 0.5000  4 Hg 3.13, 4 Ga 3.19, 4 Ho 3.21
Ga1 0.0000 0.0000 0.0000  4 Ho 3.13, 4 In 3.19, 4 Hg 3.21
Hg1 0.5000 0.0000 0.5000  4 In 3.13, 4 Ho 3.19, 4 Ga 3.21

## Properties
space group = Pmmm (47)
excess energy over the best structure of this formula in the dataset = 0.000 eV per atom
ΔH_f (0 K) = -37.43 kJ/mol of atoms

---

(6)
Below is NaMgPdAu2 after structural relaxation, with properties calculated at the PBE level.

Cell lengths 4.8963, 4.6943, 4.8963 Å; angles 90.00, 90.00, 90.00 degrees
With the nearest neighbours (Å) after each atom.
Atoms (fractional coordinates):
Na1 0.0000 0.0000 0.0000  2 Pd 2.35, 4 Au 2.45
Au1 0.5000 0.0000 0.0000  2 Na 2.45
Au2 0.0000 0.0000 0.5000  2 Na 2.45
Mg1 0.5000 0.5000 0.5000  8 Au 3.39, 4 Pd 3.46
Pd1 0.0000 0.5000 0.0000  2 Na 2.35

## Properties
space group = P4/mmm (123)
ΔH_f (0 K) = 51.95 kJ/mol of atoms

---

(7)
Below is AcAl2Ag4 after structural relaxation, with properties calculated at the PBE level.

Cell lengths 4.6859, 4.6675, 7.2766 Å; angles 108.71, 90.00, 90.00 degrees
With the nearest neighbours (Å) after each atom.
Atoms (fractional coordinates):
Ag1 0.0000 0.6856 0.3713  2 Al 2.66, 4 Ag 2.92-2.93
Ag2 0.5000 0.1875 0.3751  2 Al 2.66, 4 Ag 2.90-2.92
Ag3 0.5000 0.8125 0.6249  2 Al 2.66, 4 Ag 2.90-2.92
Ag4 0.0000 0.3144 0.6287  2 Al 2.66, 4 Ag 2.92-2.93
Ac1 0.0000 0.0000 0.0000  8 Ag 3.46-3.49, 8 Al 3.56
Al1 0.5000 0.4051 0.8103  1 Al 2.62, 4 Ag 2.66
Al2 0.5000 0.5949 0.1897  1 Al 2.62, 4 Ag 2.66

## Properties
space group = Cmmm (65)
excess energy over the best structure of this formula in the dataset = 0.000 eV per atom
ΔH_f (0 K) = -23.31 kJ/mol of atoms

---

(8)
Below is DyGe2Rh4 after structural relaxation, with properties calculated at the PBE level.

Cell lengths 3.8154, 3.9325, 8.6186 Å; angles 103.19, 77.25, 89.97 degrees
With the nearest neighbours (Å) after each atom.
Atoms (fractional coordinates):
Rh1 0.3754 0.1240 0.2494  4 Ge 2.76-2.77, 4 Rh 2.78-2.86, 2 Dy 2.79
Rh2 0.6246 0.8760 0.7506  4 Ge 2.76-2.77, 4 Rh 2.78-2.86, 2 Dy 2.79
Rh3 0.2546 0.7451 0.4904  4 Ge 2.49-2.63, 6 Rh 2.74-2.78
Rh4 0.7454 0.2549 0.5096  4 Ge 2.49-2.63, 6 Rh 2.74-2.78
Dy1 0.0000 0.0000 0.0000  4 Rh 2.79, 4 Ge 3.11
Ge1 0.8519 0.6480 0.2952  8 Rh 2.49-2.77
Ge2 0.1481 0.3520 0.7048  8 Rh 2.49-2.77

## Properties
space group = Immm (71)
excess energy over the best structure of this formula in the dataset = 0.313 eV per atom
ΔH_f (0 K) = -37.32 kJ/mol of atoms